Compound: Mg2PtW
Source: Alexandria via LeMat-Bulk
Functional: PBE
Structure: optimized geometry

abc: 2.7872 4.5674 5.2925
angles: 90.00 99.36 90.00
Last column: nearest neighbours and their distance in Å.
Space group P2/m (No. 10)
One atom of each set of equivalent atoms:
Mg  0.1992  0.0000  0.2516 x2  5 Mg 2.71-3.02, 2 Pt 2.74, 2 W 2.84
Pt  0.0000  0.5000  0.5000 x1  4 Mg 2.74, 2 W 2.78, 2 Pt 2.79
W  0.5000  0.5000  0.0000 x1  2 Pt 2.78, 2 W 2.79, 4 Mg 2.84

Properties
- ρ: 10.679 g/cm³
- Calculated total energy: -22.045 eV for the cell shown
- Energy above the lowest structure with this stoichiometry: 0.71 eV/f.u.
- E_form: 34.5 meV per atom